PBE CoHgOs2, optimized geometry; calculated total energy = -6.87 eV per atom; SG = C2/m; formation enthalpy at 0 K = 592 meV/atom
1.0
-1.441 3.443 -4.196
-3.294 1.429 -4.318
-3.190 2.870 1.100
Co Hg Os
1 1 2
Cartesian
-5.944 5.806 -5.560
-1.981 1.935 -1.853
-3.246 2.942 0.753
-3.907 3.798 -3.360